# HoTl2Ir3O12 (GGA-PBE, optimized geometry)
# **ΔE_f (raw)**: -945 meV per atom
# **Total magnetic moment**: 0.00 μB per atom
# **Electronic total energy**: -6.245 eV per atom
data_HoTl2Ir3O12
_chemical_formula_sum 'Ho3 Tl6 Ir9 O36'
_symmetry_space_group_name_H-M 'R -3 m'
_symmetry_Int_Tables_number 166
_symmetry_space_group_name_Hall '-R 3 2"'
_cell_length_a 7.3837
_cell_length_b 7.3837
_cell_length_c 15.2574
_cell_angle_alpha 90.00
_cell_angle_beta 90.00
_cell_angle_gamma 120.00
loop_
_atom_site_label
_atom_site_fract_x
_atom_site_fract_y
_atom_site_fract_z
Ho1 0.0000 0.0000 0.0000
Tl1 0.0000 0.0000 0.3873
Ir1 0.0000 0.5000 0.5000
O1 0.0226 0.5113 0.3759
O2 0.0703 0.5351 0.8197

# YHoIrO6 (GGA-PBE, optimized geometry)
# **ΔE_f (raw)**: -2207 meV per atom
# **Total magnetic moment**: 0.31 μB per atom
# **Electronic total energy**: -7.724 eV per atom
data_YHoIrO6
_chemical_formula_sum 'Y2 Ho2 Ir2 O12'
_symmetry_space_group_name_H-M 'P -3 1 c'
_symmetry_Int_Tables_number 163
_symmetry_space_group_name_Hall '-P 3 2c'
_cell_length_a 5.4757
_cell_length_b 5.4757
_cell_length_c 9.5715
_cell_angle_alpha 90.00
_cell_angle_beta 90.00
_cell_angle_gamma 120.00
loop_
_atom_site_label
_atom_site_fract_x
_atom_site_fract_y
_atom_site_fract_z
Y1 0.0000 0.0000 0.0000
Ho1 0.3333 0.6667 0.2500
Ir1 0.3333 0.6667 0.7500
O1 0.0401 0.3683 0.6346

# YHo2IrO8 (GGA-PBE, optimized geometry)
# **ΔE_f (raw)**: -2366 meV per atom
# **Total magnetic moment**: 0.14 μB per atom
# **Electronic total energy**: -7.712 eV per atom
data_YHo2IrO8
_chemical_formula_sum 'Y2 Ho4 Ir2 O16'
_symmetry_space_group_name_H-M 'C m m m'
_symmetry_Int_Tables_number 65
_symmetry_space_group_name_Hall '-C 2 2'
_cell_length_a 7.070
_cell_length_b 7.139
_cell_length_c 6.773
_cell_angle_alpha 90.00
_cell_angle_beta 90.00
_cell_angle_gamma 90.00
loop_
_atom_site_label
_atom_site_fract_x
_atom_site_fract_y
_atom_site_fract_z
Y1 0.000 0.000 0.000
Ho1 0.000 0.500 0.248
Ir1 0.000 0.000 0.500
O1 0.000 0.185 0.290
O2 0.191 0.500 0.000
O3 0.230 0.500 0.500

# HoZnIrO6 (GGA-PBE, optimized geometry)
# **ΔE_f (raw)**: -1423 meV per atom
# **Total magnetic moment**: 0.17 μB per atom
# **Electronic total energy**: -6.363 eV per atom
data_HoZnIrO6
_chemical_formula_sum 'Ho2 Zn2 Ir2 O12'
_symmetry_space_group_name_H-M 'P -3 1 c'
_symmetry_Int_Tables_number 163
_symmetry_space_group_name_Hall '-P 3 2c'
_cell_length_a 5.4193
_cell_length_b 5.4193
_cell_length_c 8.6409
_cell_angle_alpha 90.00
_cell_angle_beta 90.00
_cell_angle_gamma 120.00
loop_
_atom_site_label
_atom_site_fract_x
_atom_site_fract_y
_atom_site_fract_z
Ho1 0.3333 0.6667 0.2500
Zn1 0.0000 0.0000 0.0000
Ir1 0.3333 0.6667 0.7500
O1 0.0424 0.3667 0.6244

# Ho2IrOs (GGA-PBE, optimized geometry)
# **Total magnetic moment**: 0.00 μB per atom
# **E_form**: -0.4861 eV/atom
# **Electronic total energy**: -7.798 eV per atom
data_Ho2IrOs
_chemical_formula_sum 'Ho2 Ir1 Os1'
_symmetry_space_group_name_H-M 'P 4/m m m'
_symmetry_Int_Tables_number 123
_symmetry_space_group_name_Hall '-P 4 2'
_cell_length_a 3.398
_cell_length_b 3.398
_cell_length_c 6.789
_cell_angle_alpha 90.00
_cell_angle_beta 90.00
_cell_angle_gamma 90.00
loop_
_atom_site_label
_atom_site_fract_x
_atom_site_fract_y
_atom_site_fract_z
Ho1 0.000 0.000 0.246
Ir1 0.500 0.500 0.500
Os1 0.500 0.500 0.000

# Ho2IrOs (GGA-PBE, optimized geometry)
# **Total magnetic moment**: 0.00 μB per atom
# **E_form**: 0.3718 eV/atom
# **Electronic total energy**: -6.940 eV per atom
data_Ho2IrOs
_chemical_formula_sum 'Ho6 Ir3 Os3'
_symmetry_space_group_name_H-M 'R -3 m'
_symmetry_Int_Tables_number 166
_symmetry_space_group_name_Hall '-R 3 2"'
_cell_length_a 3.1756
_cell_length_b 3.1756
_cell_length_c 28.6199
_cell_angle_alpha 90.00
_cell_angle_beta 90.00
_cell_angle_gamma 120.00
loop_
_atom_site_label
_atom_site_fract_x
_atom_site_fract_y
_atom_site_fract_z
Ho1 0.0000 0.0000 0.0919
Ir1 0.0000 0.0000 0.0000
Os1 0.0000 0.0000 0.5000

# HoIrOs (GGA-PBE, optimized geometry)
# **Energy above the lowest structure with this stoichiometry**: 0.019 eV/atom
# **Total magnetic moment**: 0.00 μB per atom
# **E_form**: -0.5606 eV/atom
# **Electronic total energy**: -8.783 eV per atom
data_HoIrOs
_chemical_formula_sum 'Ho4 Ir4 Os4'
_symmetry_space_group_name_H-M 'I m m a'
_symmetry_Int_Tables_number 74
_symmetry_space_group_name_Hall '-I 2b 2'
_cell_length_a 5.164
_cell_length_b 5.434
_cell_length_c 7.708
_cell_angle_alpha 90.00
_cell_angle_beta 90.00
_cell_angle_gamma 90.00
loop_
_atom_site_label
_atom_site_fract_x
_atom_site_fract_y
_atom_site_fract_z
Ho1 0.000 0.250 0.122
Ir1 0.000 0.000 0.500
Os1 0.250 0.250 0.750

# HoIrOs (GGA-PBE, optimized geometry)
# **Energy above the lowest structure with this stoichiometry**: 0.000 eV/atom
# **Total magnetic moment**: 0.00 μB per atom
# **E_form**: -0.5796 eV/atom
# **Electronic total energy**: -8.802 eV per atom
data_HoIrOs
_chemical_formula_sum 'Ho8 Ir8 Os8'
_symmetry_space_group_name_H-M 'A m m 2'
_symmetry_Int_Tables_number 38
_cell_length_a 8.871
_cell_length_b 5.327
_cell_length_c 9.128
_cell_angle_alpha 90.00
_cell_angle_beta 90.00
_cell_angle_gamma 90.00
loop_
_symmetry_equiv_pos_as_xyz
'x,y,z'
'-x,-y,z'
'-x,y,z'
'x,-y,z'
'x,y+1/2,z+1/2'
'-x,-y+1/2,z+1/2'
'-x,y+1/2,z+1/2'
'x,-y+1/2,z+1/2'
loop_
_atom_site_label
_atom_site_fract_x
_atom_site_fract_y
_atom_site_fract_z
Ho1 0.181 0.000 0.000
Ho2 0.316 0.000 0.333
Ir1 0.000 0.246 0.255
Ir2 0.249 0.000 0.664
Os1 0.000 0.000 0.497
Os2 0.500 0.000 0.841
Os3 0.500 0.245 0.082

# Ho4IrOs (GGA-PBE, optimized geometry)
# **Energy above the lowest structure with this stoichiometry**: 0.000 eV/atom
# **Total magnetic moment**: 0.00 μB per atom
# **E_form**: -0.5218 eV/atom
# **Electronic total energy**: -6.922 eV per atom
data_Ho4IrOs
_chemical_formula_sum 'Ho16 Ir4 Os4'
_symmetry_space_group_name_H-M 'C 1 2/c 1'
_symmetry_Int_Tables_number 15
_cell_length_a 8.945
_cell_length_b 12.825
_cell_length_c 6.274
_cell_angle_alpha 90.00
_cell_angle_beta 123.96
_cell_angle_gamma 90.00
loop_
_symmetry_equiv_pos_as_xyz
'x,y,z'
'-x,-y,-z'
'-x,y,-z+1/2'
'x,-y,z+1/2'
'x+1/2,y+1/2,z'
'-x+1/2,-y+1/2,-z'
'-x+1/2,y+1/2,-z+1/2'
'x+1/2,-y+1/2,z+1/2'
loop_
_atom_site_label
_atom_site_fract_x
_atom_site_fract_y
_atom_site_fract_z
Ho1 0.129 0.176 0.094
Ho2 0.196 0.438 0.265
Ir1 0.000 0.364 0.750
Os1 0.000 0.000 0.250

# Ho2Si4Ir3Os (GGA-PBE, optimized geometry)
# **ΔE_f (raw)**: -968 meV per atom
# **Total magnetic moment**: 0.00 μB per atom
# **Electronic total energy**: -7.834 eV per atom
data_Ho2Si4Ir3Os
_chemical_formula_sum 'Ho2 Si4 Ir3 Os1'
_symmetry_space_group_name_H-M 'P -4 m 2'
_symmetry_Int_Tables_number 115
_cell_length_a 4.165
_cell_length_b 4.165
_cell_length_c 9.676
_cell_angle_alpha 90.00
_cell_angle_beta 90.00
_cell_angle_gamma 90.00
loop_
_symmetry_equiv_pos_as_xyz
'x,y,z'
'y,-x,-z'
'-x,-y,z'
'-y,x,-z'
'-x,y,z'
'-y,-x,-z'
'x,-y,z'
'y,x,-z'
loop_
_atom_site_label
_atom_site_fract_x
_atom_site_fract_y
_atom_site_fract_z
Ho1 0.000 0.500 0.249
Si1 0.000 0.000 0.000
Si2 0.000 0.500 0.627
Si3 0.500 0.500 0.000
Ir1 0.000 0.500 0.872
Ir2 0.500 0.500 0.500
Os1 0.000 0.000 0.500

# TbHoIrOs (GGA-PBE, optimized geometry)
# **Total magnetic moment**: 0.00 μB per atom
# **E_form**: -0.4411 eV/atom
# **Electronic total energy**: -7.766 eV per atom
data_TbHoIrOs
_chemical_formula_sum 'Tb4 Ho4 Ir4 Os4'
_symmetry_space_group_name_H-M 'F -4 3 m'
_symmetry_Int_Tables_number 216
_symmetry_space_group_name_Hall 'F -4 2 3'
_cell_length_a 6.828
_cell_length_b 6.828
_cell_length_c 6.828
_cell_angle_alpha 90.00
_cell_angle_beta 90.00
_cell_angle_gamma 90.00
loop_
_atom_site_label
_atom_site_fract_x
_atom_site_fract_y
_atom_site_fract_z
Tb1 0.000 0.000 0.000
Ho1 0.000 0.000 0.500
Ir1 0.250 0.250 0.250
Os1 0.250 0.250 0.750

# HoTmIrOs (GGA-PBE, optimized geometry)
# **Total magnetic moment**: 0.00 μB per atom
# **E_form**: -0.5178 eV/atom
# **Electronic total energy**: -7.803 eV per atom
data_HoTmIrOs
_chemical_formula_sum 'Ho4 Tm4 Ir4 Os4'
_symmetry_space_group_name_H-M 'F -4 3 m'
_symmetry_Int_Tables_number 216
_symmetry_space_group_name_Hall 'F -4 2 3'
_cell_length_a 6.765
_cell_length_b 6.765
_cell_length_c 6.765
_cell_angle_alpha 90.00
_cell_angle_beta 90.00
_cell_angle_gamma 90.00
loop_
_atom_site_label
_atom_site_fract_x
_atom_site_fract_y
_atom_site_fract_z
Ho1 0.000 0.000 0.000
Tm1 0.000 0.000 0.500
Ir1 0.250 0.250 0.250
Os1 0.250 0.250 0.750